Entry 1:
Material: AgMoOsPb2
Method: DFT, PBE
State: optimized geometry

Values from the calculation:
VASP energy, eV per atom: -4.4137
Symmetry: P4/mmm (123)
Magnetization, μB/f.u.: 5.37
Formation energy, meV/atom: 2052

CIF file:
```
data_AgMoOsPb2
_cell_length_a 5.2339
_cell_length_b 5.2339
_cell_length_c 5.0677
_cell_angle_alpha 90.00
_cell_angle_beta 90.00
_cell_angle_gamma 90.00
_symmetry_space_group_name_H-M 'P 1'
_symmetry_Int_Tables_number 1
loop_
_symmetry_equiv_pos_as_xyz
'x,y,z'
loop_
_atom_site_label
_atom_site_fract_x
_atom_site_fract_y
_atom_site_fract_z
Ag1 0.0000 0.0000 0.0000
Mo1 0.5000 0.5000 0.5000
Os1 0.0000 0.0000 0.5000
Pb1 0.0000 0.5000 0.0000
Pb2 0.5000 0.0000 0.0000
```

---

Entry 2:
Material: LiLa2HoSe4
Method: DFT, PBE
State: optimized geometry

Values from the calculation:
ΔE_f (raw), meV/atom: -1813
VASP energy, eV per atom: -5.5981
Symmetry: P2/m (10)
Magnetization, μB/f.u.: 0.00

CIF file:
```
data_LiLa2HoSe4
_cell_length_a 7.1964
_cell_length_b 4.1862
_cell_length_c 7.2512
_cell_angle_alpha 90.00
_cell_angle_beta 109.56
_cell_angle_gamma 90.00
_symmetry_space_group_name_H-M 'P 1'
_symmetry_Int_Tables_number 1
loop_
_symmetry_equiv_pos_as_xyz
'x,y,z'
loop_
_atom_site_label
_atom_site_fract_x
_atom_site_fract_y
_atom_site_fract_z
Li1 0.0000 0.0000 0.0000
La1 0.5000 0.0000 0.5000
La2 0.5000 0.5000 0.0000
Ho1 0.0000 0.5000 0.5000
Se1 0.2282 0.0000 0.7466
Se2 0.2287 0.5000 0.2417
Se3 0.7713 0.5000 0.7583
Se4 0.7718 0.0000 0.2534
```

---

Entry 3:
Material: TbZr2Np
Method: DFT, PBE
State: optimized geometry

Values from the calculation:
VASP energy, eV per atom: -8.3540
Symmetry: P4/mmm (123)
Magnetization, μB/f.u.: 3.81
Formation energy, meV/atom: 313

CIF file:
```
data_TbZr2Np
_cell_length_a 3.7687
_cell_length_b 3.7687
_cell_length_c 7.1342
_cell_angle_alpha 90.00
_cell_angle_beta 90.00
_cell_angle_gamma 90.00
_symmetry_space_group_name_H-M 'P 1'
_symmetry_Int_Tables_number 1
loop_
_symmetry_equiv_pos_as_xyz
'x,y,z'
loop_
_atom_site_label
_atom_site_fract_x
_atom_site_fract_y
_atom_site_fract_z
Tb1 0.0000 0.0000 0.0000
Zr1 0.5000 0.5000 0.2904
Zr2 0.5000 0.5000 0.7096
Np1 0.0000 0.0000 0.5000
```

---

Which of these has the lowest magnetization? LiLa2HoSe4